No. 1
A geometry-optimized Ca4YAs structure, computed with GGA-PBEsol.

Unit cell a=6.5522 b=6.5522 c=6.5522 alpha=60.00 beta=60.00 gamma=60.00
With the nearest neighbours (Å) after each atom.
Fractional positions:
Ca 0.3751 0.8748 0.3751  6 Ca 3.27-3.28
Ca 0.8748 0.3751 0.3751  6 Ca 3.27-3.28
Y 0.7500 0.7500 0.7500  12 Ca 3.84, 4 As 4.01
As 0.0000 0.0000 0.0000  12 Ca 3.84, 4 Y 4.01
Ca 0.3751 0.3751 0.8748  6 Ca 3.27-3.28
Ca 0.3751 0.3751 0.3751  6 Ca 3.27-3.28

Calculated values
Space-group type ... No. 216
Formation energy from the elements ... 0.3212 eV per atom

=====

No. 2
A geometry-optimized Mg2BeFe structure, computed with GGA-PBEsol.

Unit cell a=2.7598 b=4.7147 c=4.7147 alpha=109.36 beta=89.99 gamma=89.99
With the nearest neighbours (Å) after each atom.
Fractional positions:
Mg 0.0000 0.0000 0.5000  4 Mg 2.73-2.76, 4 Be 2.73, 4 Fe 2.73
Mg 0.0000 0.5000 0.0000  4 Mg 2.73-2.76, 4 Fe 2.73, 4 Be 2.73
Fe 0.5000 0.5000 0.5000  2 Be 2.73, 8 Mg 2.73, 2 Fe 2.76
Be 0.5000 0.0000 0.0000  2 Fe 2.73, 8 Mg 2.73, 2 Be 2.76

Calculated values
Space-group type ... No. 65
Formation energy from the elements ... 0.3983 eV per atom

=====

No. 3
A geometry-optimized BeGe2Br structure, computed with GGA-PBEsol.

Unit cell a=4.6844 b=4.6844 c=4.6844 alpha=60.00 beta=60.00 gamma=60.00
With the nearest neighbours (Å) after each atom.
Fractional positions:
Ge 0.7500 0.7500 0.7500  4 Br 2.87, 4 Be 2.87
Ge 0.2500 0.2500 0.2500  4 Br 2.87, 4 Be 2.87
Be 0.0000 0.0000 0.0000  8 Ge 2.87
Br 0.5000 0.5000 0.5000  8 Ge 2.87

Calculated values
Space-group type ... No. 225
Energy relative to the elements, uncorrected ... 0.71 eV per atom

=====

No. 4
A geometry-optimized Sr4Cd3 structure, computed with GGA-PBEsol.

Unit cell a=3.9838 b=3.9838 c=15.7847 alpha=97.25 beta=97.25 gamma=90.00
With the nearest neighbours (Å) after each atom.
Fractional positions:
Sr 0.8349 0.8349 0.6698  5 Cd 3.39
Cd 0.2741 0.2741 0.5483  4 Cd 3.19, 5 Sr 3.39
Cd 0.0000 0.0000 0.0000  8 Sr 3.42
Sr 0.4377 0.4377 0.8754  4 Cd 3.42
Sr 0.5623 0.5623 0.1246  4 Cd 3.42
Sr 0.1651 0.1651 0.3302  5 Cd 3.39
Cd 0.7259 0.7259 0.4517  4 Cd 3.19, 5 Sr 3.39

Calculated values
Space-group type ... No. 139
Formation energy from the elements ... -0.2110 eV per atom

=====

No. 5
A geometry-optimized Cd2HgPb structure, computed with GGA-PBEsol.

Unit cell a=3.2442 b=3.2442 c=8.9481 alpha=90.00 beta=90.00 gamma=89.89
With the nearest neighbours (Å) after each atom.
Fractional positions:
Cd 0.5000 0.5000 0.7525  8 Cd 3.04-3.24, 4 Hg 3.07-3.08
Hg 0.0000 0.0000 0.5236  4 Cd 3.07-3.08, 4 Hg 3.24, 4 Pb 3.37
Cd 0.0000 0.0000 0.9764  8 Cd 3.04-3.24, 4 Pb 3.34
Pb 0.5000 0.5000 0.2475  4 Pb 3.24, 4 Cd 3.34, 4 Hg 3.37

Calculated values
Space-group type ... No. 35
Formation energy from the elements ... 0.0319 eV per atom

=====

No. 6
A geometry-optimized SbTeMo2 structure, computed with GGA-PBEsol.

Unit cell a=4.6443 b=4.6443 c=4.6443 alpha=60.00 beta=60.00 gamma=60.00
With the nearest neighbours (Å) after each atom.
Fractional positions:
Te 0.5000 0.5000 0.5000  8 Mo 2.84
Mo 0.7500 0.7500 0.7500  4 Te 2.84, 4 Sb 2.84
Sb 0.0000 0.0000 0.0000  8 Mo 2.84
Mo 0.2500 0.2500 0.2500  4 Sb 2.84, 4 Te 2.84

Calculated values
Space-group type ... No. 225
Energy relative to the elements, uncorrected ... 0.23 eV per atom

=====

No. 7
A geometry-optimized NiMoPt2 structure, computed with GGA-PBEsol.

Unit cell a=2.6977 b=4.6731 c=4.6858 alpha=99.58 beta=90.00 gamma=106.78
With the nearest neighbours (Å) after each atom.
Fractional positions:
Mo 0.4970 0.9940 0.4995  7 Pt 2.65-2.76, 3 Ni 2.67-2.73, 2 Mo 2.70
Ni 0.7514 0.5028 0.2511  7 Pt 2.64-2.77, 3 Mo 2.67-2.73, 2 Ni 2.70
Pt 0.0032 0.0063 0.0151  4 Mo 2.65-2.76, 3 Ni 2.67-2.68, 5 Pt 2.70-2.78
Pt 0.2484 0.4969 0.7343  4 Ni 2.64-2.77, 3 Mo 2.65-2.69, 5 Pt 2.70-2.78

Calculated values
Space-group type ... No. 8
Formation energy from the elements ... -0.1986 eV per atom

=====

No. 8
A geometry-optimized HoBO3 structure, computed with GGA-PBEsol.

Unit cell a=4.9479 b=4.9479 c=6.1574 alpha=66.31 beta=66.31 gamma=60.00
With the nearest neighbours (Å) after each atom.
Fractional positions:
O 0.2500 0.5297 0.2500  1 B 1.38
B 0.2500 0.2500 0.2500  3 O 1.38
O 0.5297 0.9703 0.2500  1 B 1.38
O 0.0297 0.7500 0.7500  1 B 1.38
Ho 0.5000 0.5000 0.5000  6 O 2.26
B 0.7500 0.7500 0.7500  3 O 1.38
O 0.9703 0.2500 0.2500  1 B 1.38
O 0.7500 0.4703 0.7500  1 B 1.38
Ho 0.0000 0.0000 0.0000  6 O 2.26
O 0.4703 0.0297 0.7500  1 B 1.38

Calculated values
Space-group type ... No. 167
Energy relative to the elements, uncorrected ... -3.14 eV per atom

=====

no.,final energy (eV/atom)
1,-3.0890
2,-3.7012
3,-3.2222
4,-1.7756
5,-1.7079
6,-7.6725
7,-8.1617
8,-8.6783